1:
# PBE LuF, relaxed
# Theoretical density: 8.8 g cm⁻³
# Spin magnetization: 0.00 μB/f.u.
data_LuF
_cell_length_a 5.270
_cell_length_b 5.270
_cell_length_c 5.270
_cell_angle_alpha 90.00
_cell_angle_beta 90.00
_cell_angle_gamma 90.00
_space_group_name_H-M_alt 'F -4 3 m'
_space_group_IT_number 216
_space_group_name_Hall 'F -4 2 3'
loop_
_atom_site_label
_atom_site_fract_x
_atom_site_fract_y
_atom_site_fract_z
Lu1 0.000 0.000 0.000
F1 0.250 0.250 0.250

2:
# PBE LuF, relaxed
# Theoretical density: 9.9 g cm⁻³
# Spin magnetization: 0.00 μB/f.u.
data_LuF
_cell_length_a 3.1512
_cell_length_b 3.1512
_cell_length_c 3.7651
_cell_angle_alpha 90.00
_cell_angle_beta 90.00
_cell_angle_gamma 120.00
_space_group_name_H-M_alt 'P -6 m 2'
_space_group_IT_number 187
_space_group_name_Hall 'P -6 2'
loop_
_atom_site_label
_atom_site_fract_x
_atom_site_fract_y
_atom_site_fract_z
Lu1 0.0000 0.0000 0.0000
F1 0.3333 0.6667 0.5000

3:
# PBE LuF, relaxed
# Theoretical density: 10.4 g cm⁻³
# Spin magnetization: 0.40 μB/f.u.
data_LuF
_cell_length_a 4.981
_cell_length_b 4.981
_cell_length_c 4.981
_cell_angle_alpha 90.00
_cell_angle_beta 90.00
_cell_angle_gamma 90.00
_space_group_name_H-M_alt 'F m -3 m'
_space_group_IT_number 225
_space_group_name_Hall '-F 4 2 3'
loop_
_atom_site_label
_atom_site_fract_x
_atom_site_fract_y
_atom_site_fract_z
Lu1 0.000 0.000 0.000
F1 0.000 0.000 0.500

Energies relative to the most stable structure, in eV/atom: 1 0.000; 2 0.333; 3 0.437.